A plane-wave DFT calculation with PBE was carried out for an optimized crystal structure of Na2RhAuO4.

Unit cell a=6.1413 b=6.1413 c=6.2927 alpha=90.00 beta=90.00 gamma=90.00
Closest atoms and distances in Å follow each position.
Atoms (fractional coordinates):
1 Na 0.0000 0.5000 0.0000  4 O 2.57
2 Na 0.0000 0.5000 0.5000  4 O 2.57
3 Na 0.5000 0.0000 0.0000  4 O 2.57
4 Na 0.5000 0.0000 0.5000  4 O 2.57
5 Rh 0.0000 0.0000 0.0000  4 O 1.87
6 Rh 0.5000 0.5000 0.5000  4 O 1.87
7 Au 0.0000 0.0000 0.5000  4 O 2.46
8 Au 0.5000 0.5000 0.0000  4 O 2.46
9 O 0.1680 0.1680 0.1853  1 Rh 1.87
10 O 0.1680 0.8320 0.8147  1 Rh 1.87
11 O 0.3320 0.3320 0.6853  1 Rh 1.87
12 O 0.3320 0.6680 0.3147  1 Rh 1.87
13 O 0.6680 0.3320 0.3147  1 Rh 1.87
14 O 0.6680 0.6680 0.6853  1 Rh 1.87
15 O 0.8320 0.1680 0.8147  1 Rh 1.87
16 O 0.8320 0.8320 0.1853  1 Rh 1.87

Results
The calculation puts the energy relative to the elements, uncorrected at -0.524 eV per atom. Its space-group type is I-42m.



A plane-wave DFT calculation with PBE was carried out for an optimized crystal structure of Ce4UP5.

Unit cell a=7.0327 b=7.0327 c=7.0327 alpha=99.58 beta=99.58 gamma=131.84
Closest atoms and distances in Å follow each position.
Atoms (fractional coordinates):
1 Ce 0.0978 0.3002 0.3980  6 P 2.87-2.92
2 Ce 0.3002 0.9022 0.2023  6 P 2.87-2.92
3 Ce 0.6998 0.0978 0.7977  6 P 2.87-2.92
4 Ce 0.9022 0.6998 0.6020  6 P 2.87-2.92
5 U 0.5000 0.5000 0.0000  6 P 2.80-2.87
6 P 0.0000 0.0000 0.0000  4 Ce 2.87, 2 U 2.87
7 P 0.2073 0.5976 0.8049  1 U 2.80, 5 Ce 2.87-2.92
8 P 0.4024 0.2073 0.6097  1 U 2.80, 5 Ce 2.87-2.92
9 P 0.5976 0.7927 0.3903  1 U 2.80, 5 Ce 2.87-2.92
10 P 0.7927 0.4024 0.1951  1 U 2.80, 5 Ce 2.87-2.92

Results
Its space-group type is I4/m.



A plane-wave DFT calculation with PBE was carried out for an optimized crystal structure of Lu2PaAs.

Unit cell a=3.5269 b=3.5269 c=30.5014 alpha=90.00 beta=90.00 gamma=120.00
Closest atoms and distances in Å follow each position.
Atoms (fractional coordinates):
1 Lu 0.0000 0.0000 0.1080  3 As 2.71
2 Lu 0.0000 0.0000 0.8920  3 As 2.71
3 Lu 0.3333 0.6667 0.5586  3 As 2.71
4 Lu 0.3333 0.6667 0.7747  3 As 2.71
5 Lu 0.6667 0.3333 0.2253  3 As 2.71
6 Lu 0.6667 0.3333 0.4414  3 As 2.71
7 Pa 0.0000 0.0000 0.0000  2 Lu 3.29, 6 Pa 3.53
8 Pa 0.3333 0.6667 0.6667  2 Lu 3.29, 6 Pa 3.53
9 Pa 0.6667 0.3333 0.3333  2 Lu 3.29, 6 Pa 3.53
10 As 0.0000 0.0000 0.5000  6 Lu 2.71
11 As 0.3333 0.6667 0.1667  6 Lu 2.71
12 As 0.6667 0.3333 0.8333  6 Lu 2.71

Results
Its space-group type is R-3m.



A plane-wave DFT calculation with PBE was carried out for an optimized crystal structure of Y3Er6Tm2.

Unit cell a=16.7309 b=16.7309 c=16.7309 alpha=163.88 beta=163.88 gamma=22.88
Closest atoms and distances in Å follow each position.
Atoms (fractional coordinates):
1 Y 0.0000 0.0000 0.0000  8 Tm 3.65
2 Y 0.2019 0.2019 0.0000  9 Er 3.33-3.56
3 Y 0.7981 0.7981 0.0000  9 Er 3.33-3.56
4 Er 0.1203 0.6203 0.5000  6 Er 3.32-3.35, 2 Tm 3.38, 2 Y 3.56
5 Er 0.3068 0.3068 0.0000  5 Y 3.33-3.44, 4 Er 3.35
6 Er 0.3797 0.8797 0.5000  6 Er 3.32-3.35, 2 Tm 3.38, 2 Y 3.56
7 Er 0.6203 0.1203 0.5000  6 Er 3.32-3.35, 2 Tm 3.38, 2 Y 3.56
8 Er 0.6932 0.6932 0.0000  5 Y 3.33-3.44, 4 Er 3.35
9 Er 0.8797 0.3797 0.5000  6 Er 3.32-3.35, 2 Tm 3.38, 2 Y 3.56
10 Tm 0.4538 0.4538 0.0000  1 Tm 3.03, 4 Er 3.38
11 Tm 0.5462 0.5462 0.0000  1 Tm 3.03, 4 Er 3.38

Results
Its space-group type is I4/mmm.



Number 1: DFT total energy -4.662 eV per atom. Number 2: DFT total energy -7.585 eV per atom. Number 3: DFT total energy -5.884 eV per atom. Number 4: DFT total energy -4.782 eV per atom.